# 1
Here is a relaxed NaHgBi2Au crystal from Alexandria. Energies are from PBE.

Output
**Crystal system**: monoclinic
**Magnetization**: 0.000 μB per atom
**Calculated formation energy**: -0.0982 eV per atom

a = 4.5244 Å, b = 4.9151 Å, c = 7.0287 Å
α = 66.90°, β = 90.00°, γ = 90.00°
Fractional coordinates of all 5 atoms:
1 Na 0.0000 0.1539 0.4810
2 Hg 0.5000 0.6511 0.4886
3 Bi 0.0000 0.4510 0.9401
4 Bi 0.5000 0.9378 0.8844
5 Au 0.0000 0.8062 0.2058



# 2
Here is a relaxed NbHgBi2Au crystal from Alexandria. Energies are from PBE.

Output
**Crystal system**: tetragonal
**Magnetization**: 0.000 μB per atom
**Calculated formation energy**: 0.4733 eV per atom

a = 5.4887 Å, b = 5.2936 Å, c = 5.4887 Å
α = 90.00°, β = 90.00°, γ = 90.00°
Fractional coordinates of all 5 atoms:
1 Nb 0.0000 0.0000 0.0000
2 Au 0.0000 0.5000 0.0000
3 Bi 0.0000 0.0000 0.5000
4 Bi 0.5000 0.0000 0.0000
5 Hg 0.5000 0.5000 0.5000



# 3
Here is a relaxed NbHgBi2Au crystal from Alexandria. Energies are from PBE.

Output
**Crystal system**: tetragonal
**Magnetization**: 0.534 μB per atom
**Calculated formation energy**: 0.9250 eV per atom

a = 5.5129 Å, b = 5.3578 Å, c = 5.5129 Å
α = 90.00°, β = 90.00°, γ = 90.00°
Fractional coordinates of all 5 atoms:
1 Nb 0.0000 0.5000 0.0000
2 Au 0.0000 0.0000 0.0000
3 Bi 0.0000 0.0000 0.5000
4 Bi 0.5000 0.0000 0.0000
5 Hg 0.5000 0.5000 0.5000



# 4
Here is a relaxed NbHgBiAu2 crystal from Alexandria. Energies are from PBE.

Output
**Crystal system**: tetragonal
**Magnetization**: 0.660 μB per atom
**Calculated formation energy**: 1.0404 eV per atom

a = 5.3860 Å, b = 5.3860 Å, c = 5.6682 Å
α = 90.00°, β = 90.00°, γ = 90.00°
Fractional coordinates of all 5 atoms:
1 Nb 0.0000 0.0000 0.5000
2 Au 0.0000 0.5000 0.0000
3 Au 0.5000 0.0000 0.0000
4 Bi 0.0000 0.0000 0.0000
5 Hg 0.5000 0.5000 0.5000



# 5
Here is a relaxed NdHgBiAu crystal from Alexandria. Energies are from PBE.

Output
**Crystal system**: cubic
**Magnetization**: 0.000 μB per atom
**Calculated formation energy**: -0.4665 eV per atom

a = 5.2818 Å, b = 5.2818 Å, c = 5.2818 Å
α = 60.00°, β = 60.00°, γ = 60.00°
Fractional coordinates of all 4 atoms:
1 Nd 0.7500 0.7500 0.7500
2 Au 0.5000 0.5000 0.5000
3 Bi 0.2500 0.2500 0.2500
4 Hg 0.0000 0.0000 0.0000



# 6
Here is a relaxed HgBiAuO4 crystal from Alexandria. Energies are from PBE.

Output
**Crystal system**: orthorhombic
**Magnetization**: 0.000 μB per atom
**Formation energy from raw total energies**: -483 meV per atom

a = 6.5917 Å, b = 7.1888 Å, c = 7.4720 Å
α = 121.31°, β = 90.00°, γ = 117.29°
Fractional coordinates of all 14 atoms:
1 Hg 0.9308 0.8616 0.1808
2 Hg 0.0692 0.1384 0.8192
3 Bi 0.5000 0.0000 0.5000
4 Bi 0.5000 0.0000 0.0000
5 Au 0.5000 0.5000 0.5000
6 Au 0.0000 0.5000 0.5000
7 O 0.7259 0.4519 0.6449
8 O 0.2451 0.8863 0.1932
9 O 0.6412 0.8863 0.1932
10 O 0.7259 0.4519 0.3069
11 O 0.2741 0.5481 0.6931
12 O 0.7549 0.1137 0.8068
13 O 0.3588 0.1137 0.8068
14 O 0.2741 0.5481 0.3551



# 7
Here is a relaxed HgBiAu2O crystal from Alexandria. Energies are from PBE.

Output
**Crystal system**: tetragonal
**Magnetization**: 0.044 μB per atom
**Formation energy from raw total energies**: 929 meV per atom

a = 5.3662 Å, b = 5.9536 Å, c = 5.3662 Å
α = 90.00°, β = 90.00°, γ = 90.00°
Fractional coordinates of all 5 atoms:
1 Au 0.0000 0.0000 0.5000
2 Au 0.5000 0.0000 0.0000
3 Bi 0.0000 0.0000 0.0000
4 O 0.5000 0.5000 0.5000
5 Hg 0.0000 0.5000 0.0000



# 8
Here is a relaxed HgBi2OsAu crystal from Alexandria. Energies are from PBE.

Output
**Crystal system**: tetragonal
**Magnetization**: 0.000 μB per atom
**Calculated formation energy**: 0.6547 eV per atom

a = 5.2139 Å, b = 5.3210 Å, c = 5.2139 Å
α = 90.00°, β = 90.00°, γ = 90.00°
Fractional coordinates of all 5 atoms:
1 Os 0.0000 0.0000 0.0000
2 Au 0.5000 0.5000 0.5000
3 Bi 0.0000 0.0000 0.5000
4 Bi 0.5000 0.0000 0.0000
5 Hg 0.0000 0.5000 0.0000



# 9
Here is a relaxed HgBi2OsAu crystal from Alexandria. Energies are from PBE.

Output
**Crystal system**: tetragonal
**Magnetization**: 0.523 μB per atom
**Calculated formation energy**: 1.7161 eV per atom

a = 5.5968 Å, b = 5.0627 Å, c = 5.5968 Å
α = 90.00°, β = 90.00°, γ = 90.00°
Fractional coordinates of all 5 atoms:
1 Os 0.5000 0.5000 0.5000
2 Au 0.0000 0.5000 0.0000
3 Bi 0.0000 0.0000 0.5000
4 Bi 0.5000 0.0000 0.0000
5 Hg 0.0000 0.0000 0.0000



# 10
Here is a relaxed PaHgBiAu crystal from Alexandria. Energies are from PBE.

Output
**Crystal system**: cubic
**Magnetization**: 0.279 μB per atom
**Calculated formation energy**: -0.0535 eV per atom

a = 5.2080 Å, b = 5.2080 Å, c = 5.2080 Å
α = 60.00°, β = 60.00°, γ = 60.00°
Fractional coordinates of all 4 atoms:
1 Pa 0.5000 0.5000 0.5000
2 Au 0.7500 0.7500 0.7500
3 Bi 0.0000 0.0000 0.0000
4 Hg 0.2500 0.2500 0.2500



# 11
Here is a relaxed HgBi2PbAu4 crystal from Alexandria. Energies are from PBE.

Output
**Crystal system**: orthorhombic
**Magnetization**: 0.000 μB per atom
**Calculated formation energy**: 0.0069 eV per atom

a = 5.9978 Å, b = 5.9978 Å, c = 6.8625 Å
α = 107.67°, β = 107.67°, γ = 107.79°
Fractional coordinates of all 8 atoms:
1 Hg 0.4376 0.4376 0.0000
2 Bi 0.1867 0.6867 0.5000
3 Bi 0.6867 0.1867 0.5000
4 Pb 0.9377 0.9377 0.0000
5 Au 0.9376 0.4377 0.0000
6 Au 0.4377 0.9376 0.0000
7 Au 0.1909 0.1909 0.5085
8 Au 0.6824 0.6824 0.4915



# 12
Here is a relaxed HgBiPbAu2 crystal from Alexandria. Energies are from PBE.

Output
**Crystal system**: monoclinic
**Magnetization**: 0.000 μB per atom
**Calculated formation energy**: -0.0100 eV per atom

a = 4.6780 Å, b = 8.4828 Å, c = 8.0862 Å
α = 63.61°, β = 73.19°, γ = 73.99°
Fractional coordinates of all 10 atoms:
1 Hg 0.0637 0.0883 0.7843
2 Hg 0.9363 0.9117 0.2157
3 Bi 0.3904 0.4413 0.7779
4 Bi 0.6096 0.5587 0.2221
5 Pb 0.7408 0.8162 0.7022
6 Pb 0.2592 0.1838 0.2978
7 Au 0.3843 0.7782 0.4532
8 Au 0.6157 0.2218 0.5468
9 Au 0.8402 0.3079 0.0118
10 Au 0.1598 0.6921 0.9882



# 13
Here is a relaxed HgBiPbAu crystal from Alexandria. Energies are from PBE.

Output
**Crystal system**: monoclinic
**Magnetization**: 0.000 μB per atom
**Calculated formation energy**: 0.0164 eV per atom

a = 3.6882 Å, b = 4.4807 Å, c = 7.0968 Å
α = 108.29°, β = 90.01°, γ = 90.00°
Fractional coordinates of all 4 atoms:
1 Hg 0.6327 0.5363 0.0737
2 Bi 0.1327 0.9293 0.8550
3 Pb 0.1325 0.1917 0.3838
4 Au 0.6326 0.7564 0.5148



# 14
Here is a relaxed HgBi2Pd4Au2 crystal from Alexandria. Energies are from PBE.

Output
**Crystal system**: tetragonal
**Magnetization**: 0.000 μB per atom
**Calculated formation energy**: 0.0639 eV per atom

a = 6.4438 Å, b = 6.4438 Å, c = 6.4438 Å
α = 91.67°, β = 119.04°, γ = 119.04°
Fractional coordinates of all 9 atoms:
1 Hg 0.0000 0.0000 0.0000
2 Bi 0.5000 0.7500 0.2500
3 Bi 0.5000 0.2500 0.7500
4 Pd 0.0000 0.7174 0.2826
5 Pd 0.4349 0.7174 0.7174
6 Pd 0.0000 0.2826 0.7174
7 Pd 0.5651 0.2826 0.2826
8 Au 0.0000 0.7068 0.7068
9 Au 0.0000 0.2932 0.2932



# 15
Here is a relaxed RbHgBi2Au2 crystal from Alexandria. Energies are from PBE.

Output
**Crystal system**: orthorhombic
**Magnetization**: 0.000 μB per atom
**Calculated formation energy**: -0.0905 eV per atom

a = 5.0292 Å, b = 7.6796 Å, c = 10.7415 Å
α = 90.00°, β = 90.00°, γ = 90.00°
Fractional coordinates of all 12 atoms:
1 Rb 0.5000 0.5000 0.0000
2 Rb 0.0000 0.0000 0.5000
3 Hg 0.0000 0.0000 0.0000
4 Hg 0.5000 0.5000 0.5000
5 Bi 0.5000 0.0657 0.1934
6 Bi 0.0000 0.5657 0.3066
7 Bi 0.5000 0.9343 0.8066
8 Bi 0.0000 0.4343 0.6934
9 Au 0.5000 0.7441 0.3027
10 Au 0.5000 0.2559 0.6973
11 Au 0.0000 0.7559 0.8027
12 Au 0.0000 0.2441 0.1973



# 16
Here is a relaxed RbHgBi3Au crystal from Alexandria. Energies are from PBE.

Output
**Crystal system**: orthorhombic
**Magnetization**: 0.000 μB per atom
**Calculated formation energy**: 0.0400 eV per atom

a = 7.2200 Å, b = 7.2506 Å, c = 9.5732 Å
α = 112.25°, β = 90.00°, γ = 90.00°
Fractional coordinates of all 12 atoms:
1 Rb 0.7500 0.3031 0.6061
2 Rb 0.2500 0.6969 0.3939
3 Hg 0.2500 0.3942 0.7885
4 Hg 0.7500 0.6058 0.2115
5 Bi 0.2500 0.2333 0.4666
6 Bi 0.0000 0.2550 0.0000
7 Bi 0.5000 0.7450 0.0000
8 Bi 0.5000 0.2550 0.0000
9 Bi 0.0000 0.7450 0.0000
10 Bi 0.7500 0.7667 0.5334
11 Au 0.2500 0.0754 0.1509
12 Au 0.7500 0.9246 0.8491



# 17
Here is a relaxed Rb4Hg2Bi2Au crystal from Alexandria. Energies are from PBE.

Output
**Crystal system**: monoclinic
**Magnetization**: 0.000 μB per atom
**Calculated formation energy**: -0.2846 eV per atom

a = 5.4810 Å, b = 8.7415 Å, c = 8.7415 Å
α = 72.82°, β = 86.19°, γ = 86.19°
Fractional coordinates of all 9 atoms:
1 Rb 0.2241 0.6302 0.1311
2 Rb 0.7759 0.8689 0.3698
3 Rb 0.7759 0.3698 0.8689
4 Rb 0.2241 0.1311 0.6302
5 Hg 0.2601 0.6866 0.6866
6 Hg 0.7399 0.3134 0.3134
7 Bi 0.2741 0.1843 0.1843
8 Bi 0.7259 0.8157 0.8157
9 Au 0.5000 0.0000 0.0000



# 18
Here is a relaxed Rb2HgBi4Au3 crystal from Alexandria. Energies are from PBE.

Output
**Crystal system**: tetragonal
**Magnetization**: 0.000 μB per atom
**Calculated formation energy**: -0.2098 eV per atom

a = 5.1561 Å, b = 5.1561 Å, c = 11.7484 Å
α = 90.00°, β = 90.00°, γ = 90.00°
Fractional coordinates of all 10 atoms:
1 Rb 0.5000 0.0000 0.2567
2 Rb 0.0000 0.5000 0.7433
3 Hg 0.5000 0.5000 0.5000
4 Bi 0.5000 0.5000 0.0000
5 Bi 0.0000 0.0000 0.0000
6 Bi 0.5000 0.0000 0.6325
7 Bi 0.0000 0.5000 0.3675
8 Au 0.0000 0.0000 0.5000
9 Au 0.5000 0.0000 0.8743
10 Au 0.0000 0.5000 0.1257



# 19
Here is a relaxed HgBi2SbAu4 crystal from Alexandria. Energies are from PBE.

Output
**Crystal system**: orthorhombic
**Magnetization**: 0.000 μB per atom
**Formation energy from raw total energies**: 11 meV per atom

a = 5.8778 Å, b = 5.8778 Å, c = 7.0223 Å
α = 112.16°, β = 112.16°, γ = 95.66°
Fractional coordinates of all 8 atoms:
1 Hg 0.9378 0.9378 0.0000
2 Bi 0.1870 0.6870 0.5000
3 Bi 0.6870 0.1870 0.5000
4 Sb 0.4370 0.4370 0.0000
5 Au 0.9367 0.4377 0.0000
6 Au 0.4377 0.9367 0.0000
7 Au 0.1868 0.1868 0.4995
8 Au 0.6873 0.6873 0.5005



# 20
Here is a relaxed Si2HgBiAu crystal from Alexandria. Energies are from PBE.

Output
**Crystal system**: tetragonal
**Magnetization**: 0.000 μB per atom
**Formation energy from raw total energies**: 1139 meV per atom

a = 4.9125 Å, b = 5.8989 Å, c = 4.9125 Å
α = 90.00°, β = 90.00°, γ = 90.00°
Fractional coordinates of all 5 atoms:
1 Si 0.0000 0.0000 0.5000
2 Si 0.5000 0.0000 0.0000
3 Au 0.5000 0.5000 0.5000
4 Bi 0.0000 0.5000 0.0000
5 Hg 0.0000 0.0000 0.0000



# 21
Here is a relaxed SnHgBiAu crystal from Alexandria. Energies are from PBE.

Output
**Crystal system**: cubic
**Magnetization**: 0.000 μB per atom
**Calculated formation energy**: 0.0613 eV per atom

a = 5.2154 Å, b = 5.2154 Å, c = 5.2154 Å
α = 60.00°, β = 60.00°, γ = 60.00°
Fractional coordinates of all 4 atoms:
1 Au 0.5000 0.5000 0.5000
2 Bi 0.7500 0.7500 0.7500
3 Sn 0.2500 0.2500 0.2500
4 Hg 0.0000 0.0000 0.0000



# 22
Here is a relaxed SnHgBiAu crystal from Alexandria. Energies are from PBE.

Output
**Crystal system**: monoclinic
**Magnetization**: 0.000 μB per atom
**Calculated formation energy**: 0.0052 eV per atom

a = 4.4077 Å, b = 4.4077 Å, c = 7.9582 Å
α = 90.17°, β = 105.88°, γ = 120.04°
Fractional coordinates of all 4 atoms:
1 Sn 0.7570 0.2030 0.9600
2 Hg 0.4967 0.0769 0.5735
3 Bi 0.6482 0.6505 0.2988
4 Au 0.1838 0.9173 0.1012



# 23
Here is a relaxed Sr3Hg2Bi2Au4 crystal from Alexandria. Energies are from PBE.

Output
**Crystal system**: trigonal
**Magnetization**: 0.000 μB per atom
**Calculated formation energy**: -0.5140 eV per atom

a = 4.9744 Å, b = 4.9744 Å, c = 14.6828 Å
α = 90.00°, β = 90.00°, γ = 120.00°
Fractional coordinates of all 11 atoms:
1 Sr 0.0000 0.0000 0.7340
2 Sr 0.0000 0.0000 0.0000
3 Sr 0.0000 0.0000 0.2660
4 Hg 0.6667 0.3333 0.8651
5 Hg 0.3333 0.6667 0.1349
6 Bi 0.6667 0.3333 0.4091
7 Bi 0.3333 0.6667 0.5909
8 Au 0.6667 0.3333 0.1303
9 Au 0.3333 0.6667 0.8697
10 Au 0.6667 0.3333 0.6190
11 Au 0.3333 0.6667 0.3810



# 24
Here is a relaxed SrHgBiAu crystal from Alexandria. Energies are from PBE.

Output
**Crystal system**: cubic
**Magnetization**: 0.000 μB per atom
**Calculated formation energy**: -0.4724 eV per atom

a = 5.3717 Å, b = 5.3717 Å, c = 5.3717 Å
α = 60.00°, β = 60.00°, γ = 60.00°
Fractional coordinates of all 4 atoms:
1 Sr 0.0000 0.0000 0.0000
2 Au 0.2500 0.2500 0.2500
3 Bi 0.5000 0.5000 0.5000
4 Hg 0.7500 0.7500 0.7500



# 25
Here is a relaxed ThHgBiAu crystal from Alexandria. Energies are from PBE.

Output
**Crystal system**: cubic
**Magnetization**: 0.000 μB per atom
**Calculated formation energy**: -0.3456 eV per atom

a = 5.2782 Å, b = 5.2782 Å, c = 5.2782 Å
α = 60.00°, β = 60.00°, γ = 60.00°
Fractional coordinates of all 4 atoms:
1 Au 0.7500 0.7500 0.7500
2 Bi 0.0000 0.0000 0.0000
3 Th 0.5000 0.5000 0.5000
4 Hg 0.2500 0.2500 0.2500



# 26
Here is a relaxed TiHg2BiAu crystal from Alexandria. Energies are from PBE.

Output
**Crystal system**: tetragonal
**Magnetization**: 0.003 μB per atom
**Calculated formation energy**: 0.4911 eV per atom

a = 5.1971 Å, b = 5.1857 Å, c = 5.1971 Å
α = 90.00°, β = 90.00°, γ = 90.00°
Fractional coordinates of all 5 atoms:
1 Ti 0.0000 0.5000 0.0000
2 Au 0.0000 0.0000 0.0000
3 Bi 0.5000 0.5000 0.5000
4 Hg 0.0000 0.0000 0.5000
5 Hg 0.5000 0.0000 0.0000